1.
ThPa2Ni6 | PBE-GGA | optimized geometry

The total energy is -7.0930 eV per atom. As for the energy of formation: -0.304 eV per atom.

It has space group Immm (No. 71), with a = 3.4807 Å, b = 6.8882 Å, c = 13.0459 Å, α = 90.00°, β = 90.00° and γ = 90.00°. The inequivalent atoms are Th at (0.0000, 0.0000, 0.0000), Pa at (0.0000, 0.5000, 0.1445), Ni at (0.0000, 0.1808, 0.5000) and Ni at (0.0000, 0.3012, 0.3207).

***

2.
RuSN2O | PBE-GGA | optimized geometry

Its uncorrected formation energy is 2.0423 eV per atom. The total energy is -4.9602 eV per atom.

It has space group P4/mmm (No. 123), with a = 3.6948 Å, b = 3.6948 Å, c = 3.6934 Å, α = 90.00°, β = 90.00° and γ = 90.00°. The inequivalent atoms are Ru at (0.0000, 0.0000, 0.0000), S at (0.5000, 0.5000, 0.0000), N at (0.0000, 0.5000, 0.5000) and O at (0.5000, 0.5000, 0.5000).